TlW2Au | PBE | relaxed

Summary:
**ΔH_f (0 K)**: 1.065 eV/atom
**Calculated total energy**: -6.8224 eV/atom
**Crystal system**: cubic
**Spin magnetization**: 0.00 μB per formula unit
**Excess energy over the best structure of this formula in the dataset**: 556 meV/atom

The structure in POSCAR format:
```
TlW2Au
1.0
0.624 -4.078 2.143
-3.295 -1.672 2.820
-2.497 -3.705 -1.283
Tl Au W
1 1 2
direct
0.500 0.500 0.500
0.000 0.000 0.000
0.250 0.250 0.250
0.750 0.750 0.750
```